No. 1
First-principles (PBE) data for crystalline Ca2ScCN at its relaxed geometry, as listed in Alexandria.

a b c (Å): 4.5875 4.5875 4.2713
angles (deg): 90.00 90.00 90.00
Fractional coordinates of all 5 atoms:
Ca 0.0000 0.5000 0.0000
Ca 0.5000 0.0000 0.0000
Sc 0.0000 0.0000 0.5000
C 0.5000 0.5000 0.5000
N 0.0000 0.0000 0.0000

## Properties
E_form (uncorrected): -17 meV/atom
magnetic moment: 0.000 μB per atom
density: 2.792 Mg/m³
VASP energy: -27.97 eV/cell
SG: P4/mmm (123)


No. 2
First-principles (PBE) data for crystalline La2MoBr at its relaxed geometry, as listed in Alexandria.

a b c (Å): 7.2906 7.2906 7.2906
angles (deg): 120.91 120.91 88.43
Fractional coordinates of all 8 atoms:
La 0.0413 0.6250 0.9163
La 0.3750 0.2913 0.4163
La 0.7087 0.1250 0.0837
La 0.8750 0.9587 0.5837
Mo 0.0000 0.0000 0.0000
Mo 0.7500 0.2500 0.5000
Br 0.2500 0.7500 0.5000
Br 0.5000 0.5000 0.0000

## Properties
E_form (uncorrected): -56 meV/atom
magnetic moment: 0.000 μB per atom
density: 5.578 Mg/m³
VASP energy: -45.16 eV/cell
SG: I-42d (122)


No. 3
First-principles (PBE) data for crystalline CuAsH3O5 at its relaxed geometry, as listed in Alexandria.

a b c (Å): 6.5229 8.1982 16.0958
angles (deg): 85.89 85.80 84.66
Fractional coordinates of all 80 atoms:
Cu 0.1166 0.1415 0.0503
Cu 0.1398 0.0851 0.4344
Cu 0.3667 0.3631 0.5410
Cu 0.3791 0.4106 0.9412
Cu 0.6209 0.5894 0.0588
Cu 0.6333 0.6369 0.4590
Cu 0.8602 0.9149 0.5656
Cu 0.8834 0.8585 0.9497
As 0.0953 0.5536 0.0999
As 0.1317 0.6343 0.4092
As 0.3621 0.9735 0.6026
As 0.3851 0.8582 0.9064
As 0.6149 0.1418 0.0936
As 0.6379 0.0265 0.3974
As 0.8683 0.3657 0.5908
As 0.9047 0.4464 0.9001
H 0.0093 0.1697 0.2944
H 0.1134 0.6190 0.2381
H 0.1178 0.8927 0.1636
H 0.1217 0.3193 0.3255
H 0.1721 0.4950 0.6882
H 0.1880 0.6625 0.8590
H 0.2901 0.0111 0.1761
H 0.3402 0.6145 0.7026
H 0.3514 0.9262 0.7480
H 0.3569 0.8234 0.3607
H 0.3850 0.3834 0.7816
H 0.4164 0.1980 0.8290
H 0.5836 0.8020 0.1710
H 0.6150 0.6166 0.2184
H 0.6431 0.1766 0.6393
H 0.6486 0.0738 0.2520
H 0.6598 0.3855 0.2974
H 0.7099 0.9889 0.8239
H 0.8120 0.3375 0.1410
H 0.8279 0.5050 0.3118
H 0.8783 0.6807 0.6745
H 0.8822 0.1073 0.8364
H 0.8866 0.3810 0.7619
H 0.9907 0.8303 0.7056
O 0.0354 0.3664 0.1409
O 0.0808 0.3243 0.5238
O 0.0869 0.5185 0.3294
O 0.0940 0.3430 0.9598
O 0.1034 0.6836 0.1818
O 0.1295 0.1960 0.3229
O 0.1440 0.0107 0.1606
O 0.1583 0.9513 0.5423
O 0.1624 0.9217 0.9635
O 0.2002 0.8234 0.3605
O 0.2839 0.8767 0.6992
O 0.3214 0.4987 0.6965
O 0.3272 0.5519 0.0401
O 0.3445 0.5655 0.4655
O 0.3454 0.6729 0.8623
O 0.4060 0.1710 0.6228
O 0.4115 0.1792 0.0309
O 0.4257 0.1393 0.4394
O 0.4357 0.3171 0.8325
O 0.4446 0.9903 0.8218
O 0.5554 0.0097 0.1782
O 0.5643 0.6829 0.1675
O 0.5743 0.8607 0.5606
O 0.5885 0.8208 0.9691
O 0.5940 0.8290 0.3772
O 0.6546 0.3271 0.1377
O 0.6555 0.4345 0.5345
O 0.6728 0.4481 0.9599
O 0.6786 0.5013 0.3035
O 0.7161 0.1233 0.3008
O 0.7998 0.1766 0.6395
O 0.8376 0.0783 0.0365
O 0.8417 0.0487 0.4577
O 0.8560 0.9893 0.8394
O 0.8705 0.8040 0.6771
O 0.8966 0.3164 0.8182
O 0.9060 0.6570 0.0402
O 0.9131 0.4815 0.6706
O 0.9192 0.6757 0.4762
O 0.9646 0.6336 0.8591

## Properties
magnetic moment: 0.003 μB per atom
density: 3.450 Mg/m³
VASP energy: -427.10 eV/cell
SG: P-1 (2)